Be7Tc | PBE | optimized geometry

```
Be7Tc
1.0
-3.130 -3.203 -1.474
-3.342 -1.557 2.939
-4.499 1.238 -0.678
Be Tc
7 1
Direct
0.000 0.500 0.500 Be
0.500 0.000 0.000 Be
0.000 0.500 0.000 Be
0.500 0.500 0.000 Be
0.000 0.000 0.500 Be
0.500 0.000 0.500 Be
0.500 0.500 0.500 Be
0.000 0.000 0.000 Tc
```

Its crystal system is cubic. The value obtained for the calculated volume is 9.27 Å³ per atom. The value obtained for the total energy is -36.5 eV per cell. The value obtained for the energy relative to the elements is -0.012 eV/atom.